# SbHO3, relaxed, DFT PBE
# energy = -113.016 eV per cell
# magnetization = 0.00 μB/cell
# ρ = 3.9 g/cm3
data_SbHO3
_chemical_formula_sum 'Sb4 H4 O12'
_cell_length_a 7.6071
_cell_length_b 7.3427
_cell_length_c 7.3503
_cell_angle_alpha 62.36
_cell_angle_beta 58.77
_cell_angle_gamma 58.87
_space_group_name_H-M_alt 'P 1'
_space_group_IT_number 1
loop_
_space_group_symop_operation_xyz
'x,y,z'
loop_
_atom_site_label
_atom_site_type_symbol
_atom_site_fract_x
_atom_site_fract_y
_atom_site_fract_z
_atom_site_occupancy
Sb1 Sb 0.2519 0.7532 0.9978 1
Sb2 Sb 0.2528 0.2522 0.4968 1
Sb3 Sb 0.7532 0.2519 0.9972 1
Sb4 Sb 0.2522 0.2528 0.9981 1
O1 O 0.3192 0.3192 0.6808 1
O2 O 0.9123 0.3518 0.0779 1
O3 O 0.9409 0.9409 0.0591 1
O4 O 0.3518 0.9123 0.6581 1
O5 O 0.3080 0.9400 0.0706 1
O6 O 0.1794 0.5685 0.9420 1
O7 O 0.1909 0.1909 0.3091 1
O8 O 0.5919 0.1722 0.8982 1
O9 O 0.9400 0.3080 0.6815 1
O10 O 0.1721 0.5919 0.3377 1
O11 O 0.5692 0.5692 0.9308 1
O12 O 0.5686 0.1794 0.3100 1
H1 H 0.8477 0.5136 0.0477 1
H2 H 0.2023 0.6589 0.4023 1
H3 H 0.6589 0.2024 0.7364 1
H4 H 0.5136 0.8476 0.5912 1

***

# Sb2H2O5, relaxed, DFT PBE
# energy = -97.688 eV per cell
# magnetization = 0.00 μB/cell
# ρ = 5.5 g/cm3
data_Sb2H2O5
_chemical_formula_sum 'Sb4 H4 O10'
_cell_length_a 5.1736
_cell_length_b 5.7877
_cell_length_c 7.6175
_cell_angle_alpha 112.33
_cell_angle_beta 109.85
_cell_angle_gamma 90.00
_space_group_name_H-M_alt 'P 1'
_space_group_IT_number 1
loop_
_space_group_symop_operation_xyz
'x,y,z'
loop_
_atom_site_label
_atom_site_type_symbol
_atom_site_fract_x
_atom_site_fract_y
_atom_site_fract_z
_atom_site_occupancy
O1 O 0.5182 0.1967 0.6860 1
O2 O 0.9126 0.2998 0.1388 1
O3 O 0.8981 0.2686 0.5000 1
O4 O 0.7262 0.7998 0.1388 1
O5 O 0.4818 0.5108 0.3140 1
O6 O 0.0874 0.1610 0.8612 1
O7 O 0.2738 0.6610 0.8612 1
O8 O 0.1019 0.7686 0.5000 1
O9 O 0.3323 0.0108 0.3140 1
O10 O 0.6677 0.6967 0.6860 1
Sb1 Sb 0.8963 0.4376 0.7743 1
Sb2 Sb 0.1037 0.6633 0.2257 1
Sb3 Sb 0.6220 0.1633 0.2257 1
Sb4 Sb 0.3780 0.9376 0.7743 1
H1 H 0.4186 0.1078 0.5000 1
H2 H 0.0000 0.1905 0.0000 1
H3 H 0.5000 0.6905 0.0000 1
H4 H 0.5814 0.6078 0.5000 1

***

# SbH3O, relaxed, DFT PBE
# energy = -14.733 eV per cell
# magnetization = 0.00 μB/cell
# ρ = 5.6 g/cm3
data_SbH3O
_chemical_formula_sum 'Sb1 H3 O1'
_cell_length_a 3.4699
_cell_length_b 3.4699
_cell_length_c 3.4699
_cell_angle_alpha 90.00
_cell_angle_beta 90.00
_cell_angle_gamma 90.00
_space_group_name_H-M_alt 'P 1'
_space_group_IT_number 1
loop_
_space_group_symop_operation_xyz
'x,y,z'
loop_
_atom_site_label
_atom_site_type_symbol
_atom_site_fract_x
_atom_site_fract_y
_atom_site_fract_z
_atom_site_occupancy
H1 H 0.0000 0.0000 0.5000 1
H2 H 0.0000 0.5000 0.0000 1
H3 H 0.5000 0.0000 0.0000 1
O1 O 0.0000 0.0000 0.0000 1
Sb1 Sb 0.5000 0.5000 0.5000 1

***

# SbHO2, relaxed, DFT PBE
# energy = -42.415 eV per cell
# magnetization = 0.00 μB/cell
# ρ = 4.9 g/cm3
data_SbHO2
_chemical_formula_sum 'Sb2 H2 O4'
_cell_length_a 4.3234
_cell_length_b 5.6727
_cell_length_c 5.6727
_cell_angle_alpha 72.23
_cell_angle_beta 68.90
_cell_angle_gamma 111.10
_space_group_name_H-M_alt 'P 1'
_space_group_IT_number 1
loop_
_space_group_symop_operation_xyz
'x,y,z'
loop_
_atom_site_label
_atom_site_type_symbol
_atom_site_fract_x
_atom_site_fract_y
_atom_site_fract_z
_atom_site_occupancy
Sb1 Sb 0.0000 0.3055 0.8055 1
Sb2 Sb 0.0000 0.6945 0.1945 1
O1 O 0.5000 0.3054 0.8054 1
O2 O 0.2221 0.7393 0.7607 1
O3 O 0.7779 0.2607 0.2393 1
O4 O 0.5000 0.6946 0.1946 1
H1 H 0.4915 0.1442 0.3558 1
H2 H 0.5085 0.8558 0.6442 1

***

# Sb2HO, relaxed, DFT PBE
# energy = -15.016 eV per cell
# magnetization = 0.00 μB/cell
# ρ = 7.1 g/cm3
data_Sb2HO
_chemical_formula_sum 'Sb2 H1 O1'
_cell_length_a 4.4222
_cell_length_b 4.4222
_cell_length_c 4.4222
_cell_angle_alpha 60.00
_cell_angle_beta 60.00
_cell_angle_gamma 60.00
_space_group_name_H-M_alt 'P 1'
_space_group_IT_number 1
loop_
_space_group_symop_operation_xyz
'x,y,z'
loop_
_atom_site_label
_atom_site_type_symbol
_atom_site_fract_x
_atom_site_fract_y
_atom_site_fract_z
_atom_site_occupancy
Sb1 Sb 0.2500 0.2500 0.2500 1
Sb2 Sb 0.7500 0.7500 0.7500 1
H1 H 0.0000 0.0000 0.0000 1
O1 O 0.5000 0.5000 0.5000 1

***

# SbHO, relaxed, DFT PBE
# energy = -55.198 eV per cell
# magnetization = 0.00 μB/cell
# ρ = 4.9 g/cm3
data_SbHO
_chemical_formula_sum 'Sb4 H4 O4'
_cell_length_a 3.9838
_cell_length_b 5.2291
_cell_length_c 9.0289
_cell_angle_alpha 90.00
_cell_angle_beta 90.00
_cell_angle_gamma 90.00
_space_group_name_H-M_alt 'P 1'
_space_group_IT_number 1
loop_
_space_group_symop_operation_xyz
'x,y,z'
loop_
_atom_site_label
_atom_site_type_symbol
_atom_site_fract_x
_atom_site_fract_y
_atom_site_fract_z
_atom_site_occupancy
H1 H 0.7500 0.2354 0.1495 1
H2 H 0.7500 0.7354 0.3505 1
H3 H 0.2500 0.7646 0.8505 1
H4 H 0.2500 0.2646 0.6495 1
O1 O 0.7500 0.4038 0.8311 1
O2 O 0.2500 0.5962 0.1689 1
O3 O 0.2500 0.0962 0.3311 1
O4 O 0.7500 0.9038 0.6689 1
Sb1 Sb 0.7500 0.7768 0.8802 1
Sb2 Sb 0.2500 0.7232 0.3802 1
Sb3 Sb 0.7500 0.2768 0.6198 1
Sb4 Sb 0.2500 0.2232 0.1198 1

***

# SbHO, relaxed, DFT PBE
# energy = -28.455 eV per cell
# magnetization = 0.00 μB/cell
# ρ = 4.1 g/cm3
data_SbHO
_chemical_formula_sum 'Sb2 H2 O2'
_cell_length_a 4.8774
_cell_length_b 4.8711
_cell_length_c 5.3047
_cell_angle_alpha 85.61
_cell_angle_beta 72.63
_cell_angle_gamma 67.62
_space_group_name_H-M_alt 'P 1'
_space_group_IT_number 1
loop_
_space_group_symop_operation_xyz
'x,y,z'
loop_
_atom_site_label
_atom_site_type_symbol
_atom_site_fract_x
_atom_site_fract_y
_atom_site_fract_z
_atom_site_occupancy
O1 O 0.7367 0.4290 0.2050 1
O2 O 0.2006 0.3701 0.4735 1
Sb1 Sb 0.1279 0.1085 0.2410 1
Sb2 Sb 0.8431 0.7570 0.6419 1
H1 H 0.0644 0.8025 0.8323 1
H2 H 0.5435 0.3977 0.3133 1

***

# Sb2HO, relaxed, DFT PBE
# energy = -32.305 eV per cell
# magnetization = 0.00 μB/cell
# ρ = 6.1 g/cm3
data_Sb2HO
_chemical_formula_sum 'Sb4 H2 O2'
_cell_length_a 5.2548
_cell_length_b 5.2548
_cell_length_c 6.3420
_cell_angle_alpha 65.53
_cell_angle_beta 65.53
_cell_angle_gamma 90.00
_space_group_name_H-M_alt 'P 1'
_space_group_IT_number 1
loop_
_space_group_symop_operation_xyz
'x,y,z'
loop_
_atom_site_label
_atom_site_type_symbol
_atom_site_fract_x
_atom_site_fract_y
_atom_site_fract_z
_atom_site_occupancy
O1 O 0.7500 0.2500 0.5000 1
O2 O 0.0000 0.0000 0.0000 1
Sb1 Sb 0.8750 0.8532 0.7500 1
Sb2 Sb 0.1468 0.6250 0.2500 1
Sb3 Sb 0.6032 0.1250 0.2500 1
Sb4 Sb 0.3750 0.3968 0.7500 1
H1 H 0.2500 0.7500 0.5000 1
H2 H 0.5000 0.5000 0.0000 1

***

# Sb2HO2, relaxed, DFT PBE
# energy = -47.179 eV per cell
# magnetization = 0.00 μB/cell
# ρ = 6.0 g/cm3
data_Sb2HO2
_chemical_formula_sum 'Sb4 H2 O4'
_cell_length_a 6.5803
_cell_length_b 6.5803
_cell_length_c 3.5418
_cell_angle_alpha 90.00
_cell_angle_beta 90.00
_cell_angle_gamma 90.00
_space_group_name_H-M_alt 'P 1'
_space_group_IT_number 1
loop_
_space_group_symop_operation_xyz
'x,y,z'
loop_
_atom_site_label
_atom_site_type_symbol
_atom_site_fract_x
_atom_site_fract_y
_atom_site_fract_z
_atom_site_occupancy
H1 H 0.5000 0.5000 0.0000 1
H2 H 0.0000 0.0000 0.0000 1
Sb1 Sb 0.2039 0.2961 0.0000 1
Sb2 Sb 0.2961 0.7961 0.0000 1
Sb3 Sb 0.7961 0.7039 0.0000 1
Sb4 Sb 0.7039 0.2039 0.0000 1
O1 O 0.6780 0.8220 0.5000 1
O2 O 0.8220 0.3220 0.5000 1
O3 O 0.1780 0.6780 0.5000 1
O4 O 0.3220 0.1780 0.5000 1

***

# Sb2HO2, relaxed, DFT PBE
# energy = -23.203 eV per cell
# magnetization = 0.00 μB/cell
# ρ = 5.9 g/cm3
data_Sb2HO2
_chemical_formula_sum 'Sb2 H1 O2'
_cell_length_a 3.7123
_cell_length_b 3.7123
_cell_length_c 6.2703
_cell_angle_alpha 72.78
_cell_angle_beta 72.78
_cell_angle_gamma 90.00
_space_group_name_H-M_alt 'P 1'
_space_group_IT_number 1
loop_
_space_group_symop_operation_xyz
'x,y,z'
loop_
_atom_site_label
_atom_site_type_symbol
_atom_site_fract_x
_atom_site_fract_y
_atom_site_fract_z
_atom_site_occupancy
O1 O 0.7500 0.2500 0.5000 1
O2 O 0.2500 0.7500 0.5000 1
Sb1 Sb 0.6377 0.6377 0.7247 1
Sb2 Sb 0.3623 0.3623 0.2753 1
H1 H 0.0000 0.0000 0.0000 1

***

# Sb3HO, relaxed, DFT PBE
# energy = -18.059 eV per cell
# magnetization = 0.64 μB/cell
# ρ = 5.9 g/cm3
data_Sb3HO
_chemical_formula_sum 'Sb3 H1 O1'
_cell_length_a 4.7580
_cell_length_b 4.7580
_cell_length_c 4.7580
_cell_angle_alpha 90.00
_cell_angle_beta 90.00
_cell_angle_gamma 90.00
_space_group_name_H-M_alt 'P 1'
_space_group_IT_number 1
loop_
_space_group_symop_operation_xyz
'x,y,z'
loop_
_atom_site_label
_atom_site_type_symbol
_atom_site_fract_x
_atom_site_fract_y
_atom_site_fract_z
_atom_site_occupancy
O1 O 0.0000 0.0000 0.0000 1
Sb1 Sb 0.5000 0.0000 0.0000 1
Sb2 Sb 0.0000 0.5000 0.0000 1
Sb3 Sb 0.0000 0.0000 0.5000 1
H1 H 0.5000 0.5000 0.5000 1

***

# SbHO3, relaxed, DFT PBE
# energy = -112.755 eV per cell
# magnetization = 0.00 μB/cell
# ρ = 3.9 g/cm3
data_SbHO3
_chemical_formula_sum 'Sb4 H4 O12'
_cell_length_a 7.3651
_cell_length_b 7.3651
_cell_length_c 7.3651
_cell_angle_alpha 117.61
_cell_angle_beta 117.61
_cell_angle_gamma 94.19
_space_group_name_H-M_alt 'P 1'
_space_group_IT_number 1
loop_
_space_group_symop_operation_xyz
'x,y,z'
loop_
_atom_site_label
_atom_site_type_symbol
_atom_site_fract_x
_atom_site_fract_y
_atom_site_fract_z
_atom_site_occupancy
O1 O 0.5620 0.4380 0.5000 1
O2 O 0.8120 0.1880 0.0000 1
O3 O 0.9608 0.4608 0.5000 1
O4 O 0.1880 0.8120 0.0000 1
O5 O 0.5392 0.0392 0.5000 1
O6 O 0.9380 0.4380 0.8761 1
O7 O 0.1880 0.1880 0.3761 1
O8 O 0.5620 0.0620 0.1239 1
O9 O 0.2108 0.2108 0.0000 1
O10 O 0.9380 0.0620 0.5000 1
O11 O 0.7892 0.7892 0.0000 1
O12 O 0.8120 0.8120 0.6239 1
H1 H 0.4419 0.9419 0.5000 1
H2 H 0.3081 0.3081 0.0000 1
H3 H 0.0581 0.5581 0.5000 1
H4 H 0.6919 0.6919 0.0000 1
Sb1 Sb 0.8750 0.1250 0.7500 1
Sb2 Sb 0.3750 0.1250 0.2500 1
Sb3 Sb 0.8750 0.1250 0.2500 1
Sb4 Sb 0.8750 0.6250 0.7500 1

***

The highest magnetization belongs to which entry? Sb3HO

***

energy of number 4 (SbHO2)? -42.415 eV per cell